# GGA-PBE GeS2NF, optimized geometry
# Raw formation energy (eV/f.u.): 4.50
# Crystal system: tetragonal
# DFT total energy (eV/atom): -3.71
# Spin magnetization (μB/cell): 4.053
# Energy relative to the lowest polymorph listed for this composition (meV per atom): 0
data_GeS2NF
_chemical_formula_sum 'Ge1 S2 N1 F1'
_symmetry_space_group_name_H-M 'P 1'
_symmetry_Int_Tables_number 1
_cell_length_a 4.9352
_cell_length_b 4.9352
_cell_length_c 3.6172
_cell_angle_alpha 90.00
_cell_angle_beta 90.00
_cell_angle_gamma 90.00
loop_
_symmetry_equiv_pos_as_xyz
'x,y,z'
loop_
_atom_site_label
_atom_site_fract_x
_atom_site_fract_y
_atom_site_fract_z
S1 0.0000 0.5000 0.0000
S2 0.5000 0.0000 0.0000
N1 0.0000 0.0000 0.5000
F1 0.5000 0.5000 0.5000
Ge1 0.0000 0.0000 0.0000